No. 1
The following is a GGA-PBE calculation of CaOsRh2 after structural relaxation, from the Alexandria database.

Cell lengths 5.262, 5.262, 4.807 Å; angles 72.57, 72.57, 30.86 degrees
Positions (direct):
Ca 0.492 0.492 0.557
Rh 0.731 0.731 0.707
Rh 0.005 0.005 0.064
Os 0.273 0.273 0.172

Summary:
SG: Cm, No. 8
Excess energy over the best structure of this formula in the dataset, eV per atom: 0.047

=====

No. 2
The following is a GGA-PBE calculation of CaOsRh2 after structural relaxation, from the Alexandria database.

Cell lengths 6.494, 4.861, 2.801 Å; angles 90.07, 64.34, 122.90 degrees
Positions (direct):
Rh 0.000 0.000 0.000
Rh 0.500 0.000 0.500
Os 0.500 0.500 0.000
Ca 0.000 0.500 0.500

Summary:
SG: Cmmm, No. 65
Excess energy over the best structure of this formula in the dataset, eV per atom: 0.042

=====

No. 3
The following is a GGA-PBE calculation of Ca4OsRh after structural relaxation, from the Alexandria database.

Cell lengths 5.864, 5.864, 5.864 Å; angles 60.00, 60.00, 60.00 degrees
Last column: magnetic moment on the atom in μB.
Positions (direct):
Ca 0.874 0.375 0.375  -0.01
Ca 0.375 0.375 0.375  -0.01
Ca 0.375 0.874 0.375  -0.01
Ca 0.375 0.375 0.874  -0.01
Os 0.750 0.750 0.750  0.74
Rh 0.000 0.000 0.000  0.31

Summary:
SG: F-43m, No. 216

=====

No. 4
The following is a GGA-PBE calculation of Ca2OsRh after structural relaxation, from the Alexandria database.

Cell lengths 3.070, 3.070, 9.349 Å; angles 90.00, 90.00, 90.00 degrees
Positions (direct):
Os 0.000 0.000 0.546
Rh 0.500 0.500 0.706
Ca 0.000 0.000 0.935
Ca 0.500 0.500 0.314

Summary:
SG: P4mm, No. 99
Excess energy over the best structure of this formula in the dataset, eV per atom: 0.169

=====

No. 5
The following is a GGA-PBE calculation of CaOsRh2 after structural relaxation, from the Alexandria database.

Cell lengths 4.788, 4.788, 2.820 Å; angles 90.00, 90.00, 90.00 degrees
Last column: magnetic moment on the atom in μB.
Positions (direct):
Rh 0.000 0.000 0.000  0.14
Rh 0.500 0.500 0.000  0.14
Os 0.000 0.500 0.500  0.43
Ca 0.500 0.000 0.500  -0.01

Summary:
SG: P4/mmm, No. 123
Excess energy over the best structure of this formula in the dataset, eV per atom: 0.105

=====

No. 6
The following is a GGA-PBE calculation of Ca2OsRh after structural relaxation, from the Alexandria database.

Cell lengths 9.235, 9.235, 9.235 Å; angles 19.60, 19.60, 19.60 degrees
Positions (direct):
Ca 0.498 0.498 0.498
Ca 0.002 0.002 0.002
Os 0.250 0.250 0.250
Rh 0.750 0.750 0.750

Summary:
SG: R-3m, No. 166
Excess energy over the best structure of this formula in the dataset, eV per atom: 0.331

=====

No. 7
The following is a GGA-PBE calculation of CaOsRh2 after structural relaxation, from the Alexandria database.

Cell lengths 3.749, 2.836, 7.027 Å; angles 66.17, 90.00, 90.00 degrees
Positions (direct):
Os 0.500 0.750 0.750
Ca 0.500 0.250 0.250
Rh 0.000 0.047 0.953
Rh 0.000 0.453 0.547

Summary:
SG: Pmmm, No. 47
Excess energy over the best structure of this formula in the dataset, eV per atom: 0.064

=====

No. 8
The following is a GGA-PBE calculation of CaOsRh2 after structural relaxation, from the Alexandria database.

Cell lengths 3.774, 4.164, 4.164 Å; angles 90.00, 90.00, 90.00 degrees
Last column: magnetic moment on the atom in μB.
Positions (direct):
Rh 0.000 0.000 0.000  0.13
Rh 0.000 0.500 0.500  0.13
Os 0.500 0.000 0.500  0.62
Ca 0.500 0.500 0.000  0.00

Summary:
SG: P4/mmm, No. 123
Excess energy over the best structure of this formula in the dataset, eV per atom: 0.247

=====

no.,volume (Å³ per cell),electronic total energy (eV per atom)
1,65,-6.8874
2,64,-6.8921
3,143,-3.3321
4,88,-5.4077
5,65,-6.8291
6,77,-5.2465
7,68,-6.8701
8,65,-6.6873